No. 1
# ZnSi2Mo

A relaxed structure of ZnSi2Mo (PBE-GGA, Alexandria via LeMat-Bulk).

Results
energy relative to the elements, uncorrected: 0.25 eV/atom
E: -0.201 hartree per atom
Fermi-level density of states: 0.796 states/eV/atom

Cell lengths 2.9473, 2.9473, 23.9266 Å; angles 90.00, 90.00, 120.00 degrees
Space group R3m (No. 160, hexagonal axes)
Symmetry-distinct sites (fractional):
1 Zn 0.0000 0.0000 0.0000 x3
2 Si 0.0000 0.0000 0.2496 x3
3 Si 0.0000 0.0000 0.5061 x3
4 Mo 0.0000 0.0000 0.7582 x3



No. 2
# ZnB2Ir4

A relaxed structure of ZnB2Ir4 (PBE-GGA, Alexandria via LeMat-Bulk).

Results
E: -0.264 hartree per atom
Fermi-level density of states: 0.567 states/eV/atom
DFT formation energy: -0.023 eV per atom

Cell lengths 6.562, 8.421, 6.903 Å; angles 90.00, 110.86, 90.00 degrees
Space group C2 (No. 5)
Symmetry-distinct sites (fractional):
1 Zn 0.000 0.000 0.000 x2
2 Zn 0.000 0.233 0.500 x2
3 B 0.103 0.638 0.392 x4
4 B 0.209 0.960 0.716 x4
5 Ir 0.054 0.448 0.826 x4
6 Ir 0.126 0.906 0.381 x4
7 Ir 0.218 0.676 0.119 x4
8 Ir 0.242 0.699 0.716 x4



No. 3
# HoMnCl5

A relaxed structure of HoMnCl5 (PBE-GGA, Alexandria via LeMat-Bulk).

Results
energy relative to the elements, uncorrected: -1.74 eV/atom
E: -0.184 hartree per atom
Fermi-level density of states: 0.000 states/eV/atom

Cell lengths 10.277, 9.966, 10.127 Å; angles 90.00, 120.10, 90.00 degrees
Space group C2/c (No. 15)
Symmetry-distinct sites (fractional):
1 Ho 0.250 0.250 0.000 x4
2 Mn 0.000 0.133 0.250 x4
3 Cl 0.000 0.320 0.750 x4
4 Cl 0.116 0.286 0.162 x8
5 Cl 0.177 0.007 0.462 x8



No. 4
# MnAlCuPd

A relaxed structure of MnAlCuPd (PBE-GGA, Alexandria via LeMat-Bulk).

Results
E: -0.215 hartree per atom
Fermi-level density of states: 0.349 states/eV/atom
DFT formation energy: -0.301 eV per atom

Cell lengths 3.010, 3.010, 6.236 Å; angles 90.00, 90.00, 90.00 degrees
Space group P4mm (No. 99)
Symmetry-distinct sites (fractional):
1 Mn 0.000 0.000 0.000 x1
2 Al 0.000 0.000 0.520 x1
3 Cu 0.500 0.500 0.757 x1
4 Pd 0.500 0.500 0.279 x1



Repeat the fourth record exactly.
# MnAlCuPd

A relaxed structure of MnAlCuPd (PBE-GGA, Alexandria via LeMat-Bulk).

Results
E: -0.215 hartree per atom
Fermi-level density of states: 0.349 states/eV/atom
DFT formation energy: -0.301 eV per atom

Cell lengths 3.010, 3.010, 6.236 Å; angles 90.00, 90.00, 90.00 degrees
Space group P4mm (No. 99)
Symmetry-distinct sites (fractional):
1 Mn 0.000 0.000 0.000 x1
2 Al 0.000 0.000 0.520 x1
3 Cu 0.500 0.500 0.757 x1
4 Pd 0.500 0.500 0.279 x1